1.
# Sc2BeNb (GGA-PBE, relaxed)
data_Sc2BeNb
_symmetry_space_group_name_H-M 'P 4/m m m'
_symmetry_Int_Tables_number 123
_symmetry_space_group_name_Hall '-P 4 2'
_cell_length_a 3.070
_cell_length_b 3.070
_cell_length_c 7.760
_cell_angle_alpha 90.00
_cell_angle_beta 90.00
_cell_angle_gamma 90.00
loop_
_atom_site_label
_atom_site_fract_x
_atom_site_fract_y
_atom_site_fract_z
Sc1 0.000 0.000 0.217
Be1 0.500 0.500 0.000
Nb1 0.500 0.500 0.500
# calculated formation energy = 1.4 kcal/mol of atoms



2.
# CrReTe3 (GGA-PBE, relaxed)
data_CrReTe3
_symmetry_space_group_name_H-M 'P m -3 m'
_symmetry_Int_Tables_number 221
_symmetry_space_group_name_Hall '-P 4 2 3'
_cell_length_a 5.146
_cell_length_b 5.146
_cell_length_c 5.146
_cell_angle_alpha 90.00
_cell_angle_beta 90.00
_cell_angle_gamma 90.00
loop_
_atom_site_label
_atom_site_fract_x
_atom_site_fract_y
_atom_site_fract_z
Cr1 0.000 0.000 0.000
Re1 0.500 0.500 0.500
Te1 0.000 0.000 0.500
# energy above the lowest structure with this stoichiometry = 323 meV/atom
# formation energy without anion corrections = 1.3460 eV/atom



3.
# BaCaBiPd (GGA-PBE, relaxed)
data_BaCaBiPd
_symmetry_space_group_name_H-M 'F -4 3 m'
_symmetry_Int_Tables_number 216
_symmetry_space_group_name_Hall 'F -4 2 3'
_cell_length_a 7.927
_cell_length_b 7.927
_cell_length_c 7.927
_cell_angle_alpha 90.00
_cell_angle_beta 90.00
_cell_angle_gamma 90.00
loop_
_atom_site_label
_atom_site_fract_x
_atom_site_fract_y
_atom_site_fract_z
Ba1 0.000 0.000 0.000
Ca1 0.000 0.000 0.500
Bi1 0.250 0.250 0.250
Pd1 0.250 0.250 0.750
# calculated formation energy = -13.8 kcal/mol of atoms



4.
# InTe2PI (GGA-PBE, relaxed)
data_InTe2PI
_symmetry_space_group_name_H-M 'P 4/m m m'
_symmetry_Int_Tables_number 123
_symmetry_space_group_name_Hall '-P 4 2'
_cell_length_a 5.925
_cell_length_b 5.925
_cell_length_c 6.449
_cell_angle_alpha 90.00
_cell_angle_beta 90.00
_cell_angle_gamma 90.00
loop_
_atom_site_label
_atom_site_fract_x
_atom_site_fract_y
_atom_site_fract_z
In1 0.000 0.000 0.000
Te1 0.000 0.500 0.500
P1 0.500 0.500 0.000
I1 0.000 0.000 0.500
# energy above the lowest structure with this stoichiometry = 853 meV/atom
# formation energy without anion corrections = 1.0780 eV/atom



5.
# Mg2SnAu7 (GGA-PBE, relaxed)
data_Mg2SnAu7
_symmetry_space_group_name_H-M 'C m m m'
_symmetry_Int_Tables_number 65
_symmetry_space_group_name_Hall '-C 2 2'
_cell_length_a 7.431
_cell_length_b 14.316
_cell_length_c 4.455
_cell_angle_alpha 90.00
_cell_angle_beta 90.00
_cell_angle_gamma 90.00
loop_
_atom_site_label
_atom_site_fract_x
_atom_site_fract_y
_atom_site_fract_z
Mg1 0.000 0.201 0.000
Sn1 0.000 0.500 0.500
Au1 0.000 0.000 0.000
Au2 0.000 0.304 0.500
Au3 0.191 0.394 0.000
# calculated formation energy = -1.3 kcal/mol of atoms



6.
# MnRe4Ag (GGA-PBE, relaxed)
data_MnRe4Ag
_symmetry_space_group_name_H-M 'F -4 3 m'
_symmetry_Int_Tables_number 216
_symmetry_space_group_name_Hall 'F -4 2 3'
_cell_length_a 7.338
_cell_length_b 7.338
_cell_length_c 7.338
_cell_angle_alpha 90.00
_cell_angle_beta 90.00
_cell_angle_gamma 90.00
loop_
_atom_site_label
_atom_site_fract_x
_atom_site_fract_y
_atom_site_fract_z
Mn1 0.000 0.000 0.000
Re1 0.125 0.125 0.625
Ag1 0.250 0.250 0.250
# calculated formation energy = 13.7 kcal/mol of atoms



7.
# VPSe2 (GGA-PBE, relaxed)
data_VPSe2
_symmetry_space_group_name_H-M 'I -4 2 d'
_symmetry_Int_Tables_number 122
_symmetry_space_group_name_Hall 'I -4 2bw'
_cell_length_a 5.342
_cell_length_b 5.342
_cell_length_c 13.454
_cell_angle_alpha 90.00
_cell_angle_beta 90.00
_cell_angle_gamma 90.00
loop_
_atom_site_label
_atom_site_fract_x
_atom_site_fract_y
_atom_site_fract_z
V1 0.000 0.000 0.000
P1 0.000 0.000 0.500
Se1 0.247 0.250 0.125
# formation energy without anion corrections = 0.2246 eV/atom



8.
# TeH2I (GGA-PBE, relaxed)
data_TeH2I
_symmetry_space_group_name_H-M 'P 1 2/m 1'
_symmetry_Int_Tables_number 10
_cell_length_a 6.192
_cell_length_b 3.138
_cell_length_c 6.878
_cell_angle_alpha 90.00
_cell_angle_beta 116.07
_cell_angle_gamma 90.00
loop_
_symmetry_equiv_pos_as_xyz
'x,y,z'
'-x,-y,-z'
'-x,y,-z'
'x,-y,z'
loop_
_atom_site_label
_atom_site_fract_x
_atom_site_fract_y
_atom_site_fract_z
Te1 0.000 0.000 0.000
H1 0.433 0.500 0.467
I1 0.500 0.000 0.000
# energy above the lowest structure with this stoichiometry = 0 meV/atom



9.
# Hf2ThZr3N6 (GGA-PBE, relaxed)
data_Hf2ThZr3N6
_symmetry_space_group_name_H-M 'C 1 2/m 1'
_symmetry_Int_Tables_number 12
_cell_length_a 5.771
_cell_length_b 9.996
_cell_length_c 5.724
_cell_angle_alpha 90.00
_cell_angle_beta 109.67
_cell_angle_gamma 90.00
loop_
_symmetry_equiv_pos_as_xyz
'x,y,z'
'-x,-y,-z'
'-x,y,-z'
'x,-y,z'
'x+1/2,y+1/2,z'
'-x+1/2,-y+1/2,-z'
'-x+1/2,y+1/2,-z'
'x+1/2,-y+1/2,z'
loop_
_atom_site_label
_atom_site_fract_x
_atom_site_fract_y
_atom_site_fract_z
Hf1 0.000 0.167 0.000
Th1 0.000 0.500 0.000
Zr1 0.000 0.000 0.500
Zr2 0.000 0.332 0.500
N1 0.228 0.000 0.244
N2 0.241 0.176 0.750
# formation energy without anion corrections = -1.6198 eV/atom



10.
# Ac6AgHg3Ir2 (GGA-PBE, relaxed)
data_Ac6AgHg3Ir2
_symmetry_space_group_name_H-M 'C 1 2/m 1'
_symmetry_Int_Tables_number 12
_cell_length_a 7.721
_cell_length_b 13.198
_cell_length_c 8.477
_cell_angle_alpha 90.00
_cell_angle_beta 106.96
_cell_angle_gamma 90.00
loop_
_symmetry_equiv_pos_as_xyz
'x,y,z'
'-x,-y,-z'
'-x,y,-z'
'x,-y,z'
'x+1/2,y+1/2,z'
'-x+1/2,-y+1/2,-z'
'-x+1/2,y+1/2,-z'
'x+1/2,-y+1/2,z'
loop_
_atom_site_label
_atom_site_fract_x
_atom_site_fract_y
_atom_site_fract_z
Ac1 0.208 0.000 0.203
Ac2 0.249 0.179 0.785
Ag1 0.000 0.500 0.000
Hg1 0.000 0.000 0.500
Hg2 0.000 0.353 0.500
Ir1 0.000 0.169 0.000
# calculated formation energy = -12.0 kcal/mol of atoms



11.
# YGa2BiPt (GGA-PBE, relaxed)
data_YGa2BiPt
_symmetry_space_group_name_H-M 'P 4/m m m'
_symmetry_Int_Tables_number 123
_symmetry_space_group_name_Hall '-P 4 2'
_cell_length_a 4.813
_cell_length_b 4.813
_cell_length_c 5.586
_cell_angle_alpha 90.00
_cell_angle_beta 90.00
_cell_angle_gamma 90.00
loop_
_atom_site_label
_atom_site_fract_x
_atom_site_fract_y
_atom_site_fract_z
Y1 0.000 0.000 0.000
Ga1 0.000 0.500 0.500
Bi1 0.500 0.500 0.000
Pt1 0.000 0.000 0.500
# calculated formation energy = -12.2 kcal/mol of atoms



12.
# NpMn3Ge3 (GGA-PBE, relaxed)
data_NpMn3Ge3
_symmetry_space_group_name_H-M 'P m -3 n'
_symmetry_Int_Tables_number 223
_symmetry_space_group_name_Hall '-P 4n 2 3'
_cell_length_a 6.693
_cell_length_b 6.693
_cell_length_c 6.693
_cell_angle_alpha 90.00
_cell_angle_beta 90.00
_cell_angle_gamma 90.00
loop_
_atom_site_label
_atom_site_fract_x
_atom_site_fract_y
_atom_site_fract_z
Np1 0.000 0.000 0.000
Mn1 0.000 0.250 0.500
Ge1 0.000 0.500 0.250
# calculated formation energy = 11.6 kcal/mol of atoms



13.
# Zn3InSn3 (GGA-PBE, relaxed)
data_Zn3InSn3
_symmetry_space_group_name_H-M 'P m -3 n'
_symmetry_Int_Tables_number 223
_symmetry_space_group_name_Hall '-P 4n 2 3'
_cell_length_a 7.526
_cell_length_b 7.526
_cell_length_c 7.526
_cell_angle_alpha 90.00
_cell_angle_beta 90.00
_cell_angle_gamma 90.00
loop_
_atom_site_label
_atom_site_fract_x
_atom_site_fract_y
_atom_site_fract_z
Zn1 0.000 0.250 0.500
In1 0.000 0.000 0.000
Sn1 0.000 0.500 0.250
# calculated formation energy = 7.8 kcal/mol of atoms



| no. | total moment (μB per cell) |
| --- | --- |
| 1 | 0.00 |
| 2 | 6.88 |
| 3 | 0.00 |
| 4 | 2.66 |
| 5 | 0.00 |
| 6 | 11.23 |
| 7 | 11.78 |
| 8 | 0.00 |
| 9 | 0.00 |
| 10 | 0.00 |
| 11 | 0.00 |
| 12 | 28.46 |
| 13 | 0.00 |